[1]
Material: ErZrPa2P4
Method: DFT, PBE
State: optimized geometry

```
data_ErZrPa2P4
_cell_length_a 6.720
_cell_length_b 3.928
_cell_length_c 6.786
_cell_angle_alpha 90.00
_cell_angle_beta 109.75
_cell_angle_gamma 90.00
_space_group_name_H-M_alt 'P 1 2/m 1'
_space_group_IT_number 10
loop_
_space_group_symop_operation_xyz
'x,y,z'
'-x,-y,-z'
'-x,y,-z'
'x,-y,z'
loop_
_atom_site_label
_atom_site_type_symbol
_atom_site_fract_x
_atom_site_fract_y
_atom_site_fract_z
_atom_site_occupancy
Er1 Er 0.000 0.000 0.000 1
Zr1 Zr 0.000 0.500 0.500 1
Pa1 Pa 0.500 0.000 0.500 1
Pa2 Pa 0.500 0.500 0.000 1
P1 P 0.242 0.000 0.743 1
P2 P 0.245 0.500 0.253 1
```

Values from the calculation:
DFT formation energy = -32.28 kcal/mol of atoms

[2]
Material: Er2ZrPaP4
Method: DFT, PBE
State: optimized geometry

```
data_Er2ZrPaP4
_cell_length_a 6.743
_cell_length_b 3.908
_cell_length_c 6.780
_cell_angle_alpha 90.00
_cell_angle_beta 109.29
_cell_angle_gamma 90.00
_space_group_name_H-M_alt 'P 1 2/m 1'
_space_group_IT_number 10
loop_
_space_group_symop_operation_xyz
'x,y,z'
'-x,-y,-z'
'-x,y,-z'
'x,-y,z'
loop_
_atom_site_label
_atom_site_type_symbol
_atom_site_fract_x
_atom_site_fract_y
_atom_site_fract_z
_atom_site_occupancy
Er1 Er 0.000 0.000 0.000 1
Er2 Er 0.500 0.500 0.000 1
Zr1 Zr 0.000 0.500 0.500 1
Pa1 Pa 0.500 0.000 0.500 1
P1 P 0.243 0.000 0.741 1
P2 P 0.245 0.500 0.254 1
```

Values from the calculation:
DFT formation energy = -33.83 kcal/mol of atoms

[3]
Material: Er2PPb
Method: DFT, PBE
State: optimized geometry

```
data_Er2PPb
_cell_length_a 3.8565
_cell_length_b 3.8565
_cell_length_c 24.1708
_cell_angle_alpha 90.00
_cell_angle_beta 90.00
_cell_angle_gamma 120.00
_space_group_name_H-M_alt 'R 3 m'
_space_group_IT_number 160
_space_group_name_Hall 'R 3 -2"'
loop_
_atom_site_label
_atom_site_type_symbol
_atom_site_fract_x
_atom_site_fract_y
_atom_site_fract_z
_atom_site_occupancy
Er1 Er 0.0000 0.0000 0.0000 1
Er2 Er 0.0000 0.0000 0.2049 1
P1 P 0.0000 0.0000 0.6016 1
Pb1 Pb 0.0000 0.0000 0.7694 1
```

Values from the calculation:
energy relative to the lowest polymorph listed for this composition = 3.3 kJ/mol of atoms
DFT formation energy = -23.35 kcal/mol of atoms

[4]
Material: Er2PPb
Method: DFT, PBE
State: optimized geometry

```
data_Er2PPb
_cell_length_a 6.750
_cell_length_b 3.886
_cell_length_c 8.171
_cell_angle_alpha 90.00
_cell_angle_beta 105.86
_cell_angle_gamma 90.00
_space_group_name_H-M_alt 'C 1 2/m 1'
_space_group_IT_number 12
loop_
_space_group_symop_operation_xyz
'x,y,z'
'-x,-y,-z'
'-x,y,-z'
'x,-y,z'
'x+1/2,y+1/2,z'
'-x+1/2,-y+1/2,-z'
'-x+1/2,y+1/2,-z'
'x+1/2,-y+1/2,z'
loop_
_atom_site_label
_atom_site_type_symbol
_atom_site_fract_x
_atom_site_fract_y
_atom_site_fract_z
_atom_site_occupancy
Er1 Er 0.232 0.000 0.197 1
P1 P 0.000 0.500 0.000 1
Pb1 Pb 0.000 0.000 0.500 1
```

Values from the calculation:
energy relative to the lowest polymorph listed for this composition = 0.0 kJ/mol of atoms
DFT formation energy = -24.14 kcal/mol of atoms

[5]
Material: ErPPb
Method: DFT, PBE
State: optimized geometry

```
data_ErPPb
_cell_length_a 11.033
_cell_length_b 11.033
_cell_length_c 11.033
_cell_angle_alpha 90.00
_cell_angle_beta 90.00
_cell_angle_gamma 90.00
_space_group_name_H-M_alt 'F -4 3 m'
_space_group_IT_number 216
_space_group_name_Hall 'F -4 2 3'
loop_
_atom_site_label
_atom_site_type_symbol
_atom_site_fract_x
_atom_site_fract_y
_atom_site_fract_z
_atom_site_occupancy
Er1 Er 0.124 0.124 0.376 1
P1 P 0.128 0.128 0.128 1
Pb1 Pb 0.138 0.138 0.862 1
```

Values from the calculation:
DFT formation energy = -7.78 kcal/mol of atoms

[6]
Material: ErP2Pd7Pb2
Method: DFT, PBE
State: optimized geometry

```
data_ErP2Pd7Pb2
_cell_length_a 5.813
_cell_length_b 5.795
_cell_length_c 13.596
_cell_angle_alpha 90.00
_cell_angle_beta 97.80
_cell_angle_gamma 90.00
_space_group_name_H-M_alt 'C 1 2/m 1'
_space_group_IT_number 12
loop_
_space_group_symop_operation_xyz
'x,y,z'
'-x,-y,-z'
'-x,y,-z'
'x,-y,z'
'x+1/2,y+1/2,z'
'-x+1/2,-y+1/2,-z'
'-x+1/2,y+1/2,-z'
'x+1/2,-y+1/2,z'
loop_
_atom_site_label
_atom_site_type_symbol
_atom_site_fract_x
_atom_site_fract_y
_atom_site_fract_z
_atom_site_occupancy
Er1 Er 0.000 0.000 0.000 1
P1 P 0.079 0.500 0.246 1
Pd1 Pd 0.000 0.500 0.000 1
Pd2 Pd 0.113 0.500 0.418 1
Pd3 Pd 0.199 0.251 0.844 1
Pb1 Pb 0.108 0.000 0.378 1
```

Values from the calculation:
DFT formation energy = -11.75 kcal/mol of atoms

[7]
Material: Er6P2PbS3
Method: DFT, PBE
State: optimized geometry

```
data_Er6P2PbS3
_cell_length_a 17.442
_cell_length_b 3.952
_cell_length_c 8.102
_cell_angle_alpha 90.00
_cell_angle_beta 102.72
_cell_angle_gamma 90.00
_space_group_name_H-M_alt 'C 1 2/m 1'
_space_group_IT_number 12
loop_
_space_group_symop_operation_xyz
'x,y,z'
'-x,-y,-z'
'-x,y,-z'
'x,-y,z'
'x+1/2,y+1/2,z'
'-x+1/2,-y+1/2,-z'
'-x+1/2,y+1/2,-z'
'x+1/2,-y+1/2,z'
loop_
_atom_site_label
_atom_site_type_symbol
_atom_site_fract_x
_atom_site_fract_y
_atom_site_fract_z
_atom_site_occupancy
Er1 Er 0.003 0.000 0.274 1
Er2 Er 0.171 0.500 0.579 1
Er3 Er 0.175 0.500 0.099 1
P1 P 0.168 0.000 0.337 1
Pb1 Pb 0.000 0.500 0.000 1
S1 S 0.000 0.500 0.500 1
S2 S 0.166 0.000 0.832 1
```

Values from the calculation:
raw formation energy = -1577 meV per atom

[8]
Material: Er3PPbS
Method: DFT, PBE
State: optimized geometry

```
data_Er3PPbS
_cell_length_a 7.094
_cell_length_b 4.019
_cell_length_c 10.851
_cell_angle_alpha 90.00
_cell_angle_beta 102.71
_cell_angle_gamma 90.00
_space_group_name_H-M_alt 'P 1 21/m 1'
_space_group_IT_number 11
loop_
_space_group_symop_operation_xyz
'x,y,z'
'-x,-y,-z'
'-x,y+1/2,-z'
'x,-y+1/2,z'
loop_
_atom_site_label
_atom_site_type_symbol
_atom_site_fract_x
_atom_site_fract_y
_atom_site_fract_z
_atom_site_occupancy
Er1 Er 0.040 0.250 0.150 1
Er2 Er 0.243 0.250 0.507 1
Er3 Er 0.441 0.750 0.844 1
P1 P 0.234 0.250 0.946 1
Pb1 Pb 0.351 0.750 0.307 1
S1 S 0.125 0.750 0.639 1
```

Values from the calculation:
raw formation energy = -1288 meV per atom

[9]
Material: ErP2PbS8
Method: DFT, PBE
State: optimized geometry

```
data_ErP2PbS8
_cell_length_a 5.9879
_cell_length_b 5.9879
_cell_length_c 9.0255
_cell_angle_alpha 90.00
_cell_angle_beta 90.00
_cell_angle_gamma 120.00
_space_group_name_H-M_alt 'P -3'
_space_group_IT_number 147
loop_
_space_group_symop_operation_xyz
'x,y,z'
'-x,-y,-z'
'-y,x-y,z'
'y,-x+y,-z'
'-x+y,-x,z'
'x-y,x,-z'
loop_
_atom_site_label
_atom_site_type_symbol
_atom_site_fract_x
_atom_site_fract_y
_atom_site_fract_z
_atom_site_occupancy
Er1 Er 0.0000 0.0000 0.0000 1
P1 P 0.3333 0.6667 0.2594 1
Pb1 Pb 0.0000 0.0000 0.5000 1
S1 S 0.0022 0.6578 0.8032 1
S2 S 0.3333 0.6667 0.4854 1
```

Values from the calculation:
raw formation energy = -496 meV per atom

[10]
Material: Er2Sc2PPb2
Method: DFT, PBE
State: optimized geometry

```
data_Er2Sc2PPb2
_cell_length_a 4.820
_cell_length_b 4.820
_cell_length_c 15.966
_cell_angle_alpha 90.00
_cell_angle_beta 90.00
_cell_angle_gamma 90.00
_space_group_name_H-M_alt 'I 4/m m m'
_space_group_IT_number 139
_space_group_name_Hall '-I 4 2'
loop_
_atom_site_label
_atom_site_type_symbol
_atom_site_fract_x
_atom_site_fract_y
_atom_site_fract_z
_atom_site_occupancy
Er1 Er 0.000 0.000 0.168 1
Sc1 Sc 0.000 0.500 0.000 1
P1 P 0.000 0.000 0.000 1
Pb1 Pb 0.000 0.000 0.365 1
```

Values from the calculation:
DFT formation energy = -16.86 kcal/mol of atoms

[11]
Material: Er4PPbSe2
Method: DFT, PBE
State: optimized geometry

```
data_Er4PPbSe2
_cell_length_a 7.147
_cell_length_b 4.103
_cell_length_c 7.206
_cell_angle_alpha 90.00
_cell_angle_beta 109.31
_cell_angle_gamma 90.00
_space_group_name_H-M_alt 'P 1 2/m 1'
_space_group_IT_number 10
loop_
_space_group_symop_operation_xyz
'x,y,z'
'-x,-y,-z'
'-x,y,-z'
'x,-y,z'
loop_
_atom_site_label
_atom_site_type_symbol
_atom_site_fract_x
_atom_site_fract_y
_atom_site_fract_z
_atom_site_occupancy
Er1 Er 0.237 0.000 0.233 1
Er2 Er 0.249 0.500 0.765 1
P1 P 0.000 0.500 0.000 1
Pb1 Pb 0.000 0.000 0.500 1
Se1 Se 0.500 0.000 0.000 1
Se2 Se 0.500 0.500 0.500 1
```

Values from the calculation:
raw formation energy = -1367 meV per atom

Number 1: calculated density 8318 kg/m3, DFT total energy -8.117 eV per atom. Number 2: calculated density 7688 kg/m3, DFT total energy -7.568 eV per atom. Number 3: calculated density 9164 kg/m3, DFT total energy -5.574 eV per atom. Number 4: calculated density 9224 kg/m3, DFT total energy -5.608 eV per atom. Number 5: calculated density 8020 kg/m3, DFT total energy -4.898 eV per atom. Number 6: calculated density 10163 kg/m3, DFT total energy -5.438 eV per atom. Number 7: calculated density 8345 kg/m3, DFT total energy -6.101 eV per atom. Number 8: calculated density 8495 kg/m3, DFT total energy -5.777 eV per atom. Number 9: calculated density 4106 kg/m3, DFT total energy -4.838 eV per atom. Number 10: calculated density 7788 kg/m3, DFT total energy -5.676 eV per atom. Number 11: calculated density 8868 kg/m3, DFT total energy -5.660 eV per atom.